# PBE+U CrCd2BrO, relaxed
# Fermi-level density of states, states/eV per cell: 0.87
# Magnetic moment, μB per formula unit: 5.01
# VASP energy, eV per formula unit: -16.6
data_CrCd2BrO
_chemical_formula_sum 'Cr1 Cd2 Br1 O1'
_symmetry_space_group_name_H-M 'P 4/m m m'
_symmetry_Int_Tables_number 123
_symmetry_space_group_name_Hall '-P 4 2'
_cell_length_a 4.3595
_cell_length_b 4.3595
_cell_length_c 6.9570
_cell_angle_alpha 90.00
_cell_angle_beta 90.00
_cell_angle_gamma 90.00
loop_
_atom_site_label
_atom_site_fract_x
_atom_site_fract_y
_atom_site_fract_z
Cr1 0.0000 0.0000 0.0000
Cd1 0.0000 0.5000 0.5000
Br1 0.5000 0.5000 0.0000
O1 0.5000 0.5000 0.5000